[1]
Compound: GeTe2PbN
Source: Alexandria via LeMat-Bulk
Functional: PBE
Structure: relaxed

Output
Its spin magnetization is 0.000 μB/atom. For the offset from the most stable computed form, the calculation gives 0.0 meV per atom. As for the density of states at the Fermi level: 0.475 states/eV per atom. Its symmetry is P4/mmm. As for the formation energy (no corrections): 42.36 kJ per mole of atoms. Its total energy is -4.15 eV per atom.

abc: 5.915 5.915 3.580
angles: 90.00 90.00 90.00
Fractional coordinates of all 5 atoms:
Ge 0.000 0.000 0.000
Te 0.000 0.500 0.000
Te 0.500 0.000 0.000
Pb 0.500 0.500 0.500
N 0.000 0.000 0.500

---

[2]
Compound: Al2Pd7Pt
Source: Alexandria via LeMat-Bulk
Functional: PBE
Structure: relaxed

Output
Its spin magnetization is 0.000 μB/atom. For the offset from the most stable computed form, the calculation gives 0.0 meV per atom. As for the density of states at the Fermi level: 0.931 states/eV per atom. The value obtained for the formation energy is -1.67 eV per formula unit. Its symmetry is Cmmm. Its total energy is -5.15 eV per atom.

abc: 8.863 8.863 2.846
angles: 90.00 90.00 130.41
Fractional coordinates of all 10 atoms:
Al 0.229 0.771 0.000
Al 0.771 0.229 0.000
Pd 0.087 0.308 0.000
Pd 0.308 0.087 0.000
Pd 0.351 0.649 0.500
Pd 0.500 0.500 0.000
Pd 0.649 0.351 0.500
Pd 0.692 0.913 0.000
Pd 0.913 0.692 0.000
Pt 0.000 0.000 0.500

---

[3]
Compound: CrFeMo
Source: Alexandria via LeMat-Bulk
Functional: PBE
Structure: relaxed

Output
Its spin magnetization is 0.000 μB/atom. For the offset from the most stable computed form, the calculation gives 0.0 meV per atom. As for the density of states at the Fermi level: 1.039 states/eV per atom. The value obtained for the formation energy is 0.02 eV per formula unit. Its symmetry is R-3m. Its total energy is -9.63 eV per atom.

abc: 11.861 11.861 11.861
angles: 23.14 23.14 23.14
Fractional coordinates of all 18 atoms:
Cr 0.000 0.000 0.000
Cr 0.000 0.000 0.500
Cr 0.000 0.500 0.000
Cr 0.108 0.108 0.108
Cr 0.500 0.000 0.000
Cr 0.892 0.892 0.892
Fe 0.228 0.228 0.709
Fe 0.228 0.709 0.228
Fe 0.291 0.772 0.772
Fe 0.709 0.228 0.228
Fe 0.772 0.291 0.772
Fe 0.772 0.772 0.291
Mo 0.239 0.239 0.239
Mo 0.318 0.318 0.318
Mo 0.457 0.457 0.457
Mo 0.543 0.543 0.543
Mo 0.682 0.682 0.682
Mo 0.761 0.761 0.761

---

[4]
Compound: TaMnSn3
Source: Alexandria via LeMat-Bulk
Functional: PBE
Structure: relaxed

Output
Its spin magnetization is 1.171 μB/atom. For the offset from the most stable computed form, the calculation gives 0.0 meV per atom. As for the density of states at the Fermi level: 0.562 states/eV per atom. The value obtained for the formation energy is 4.00 eV per formula unit. Its symmetry is Pm-3m. Its total energy is -5.81 eV per atom.

abc: 5.523 5.523 5.523
angles: 90.00 90.00 90.00
Fractional coordinates of all 5 atoms:
Ta 0.000 0.000 0.000
Mn 0.500 0.500 0.500
Sn 0.000 0.000 0.500
Sn 0.000 0.500 0.000
Sn 0.500 0.000 0.000

---

[5]
Compound: Sm8P3HS4
Source: Alexandria via LeMat-Bulk
Functional: PBE
Structure: relaxed

Output
Its spin magnetization is 0.000 μB/atom. As for the density of states at the Fermi level: 0.345 states/eV per atom. Its symmetry is R-3m. Its total energy is -6.29 eV per atom.

abc: 8.050 8.050 8.050
angles: 60.00 60.00 60.00
Fractional coordinates of all 16 atoms:
Sm 0.243 0.754 0.754
Sm 0.246 0.246 0.757
Sm 0.246 0.757 0.246
Sm 0.248 0.248 0.248
Sm 0.752 0.752 0.752
Sm 0.754 0.243 0.754
Sm 0.754 0.754 0.243
Sm 0.757 0.246 0.246
P 0.000 0.000 0.500
P 0.000 0.500 0.000
P 0.500 0.000 0.000
H 0.500 0.500 0.500
S 0.000 0.000 0.000
S 0.000 0.500 0.500
S 0.500 0.000 0.500
S 0.500 0.500 0.000

---

[6]
Compound: Y3HgSe
Source: Alexandria via LeMat-Bulk
Functional: PBE
Structure: relaxed

Output
Its spin magnetization is 0.000 μB/atom. For the offset from the most stable computed form, the calculation gives 346.5 meV per atom. As for the density of states at the Fermi level: 0.567 states/eV per atom. Its symmetry is Pm-3m. As for the formation energy (no corrections): -55.37 kJ per mole of atoms. Its total energy is -5.21 eV per atom.

abc: 5.323 5.323 5.323
angles: 90.00 90.00 90.00
Fractional coordinates of all 5 atoms:
Y 0.000 0.000 0.500
Y 0.000 0.500 0.000
Y 0.500 0.000 0.000
Hg 0.500 0.500 0.500
Se 0.000 0.000 0.000

---

[7]
Compound: TlMo2Rh
Source: Alexandria via LeMat-Bulk
Functional: PBE
Structure: relaxed

Output
Its spin magnetization is 0.268 μB/atom. For the offset from the most stable computed form, the calculation gives 409.0 meV per atom. As for the density of states at the Fermi level: 1.212 states/eV per atom. The value obtained for the formation energy is 2.83 eV per formula unit. Its symmetry is Fm-3m. Its total energy is -7.14 eV per atom.

abc: 4.588 4.588 4.588
angles: 60.00 60.00 60.00
Fractional coordinates of all 4 atoms:
Tl 0.000 0.000 0.000
Mo 0.250 0.250 0.250
Mo 0.750 0.750 0.750
Rh 0.500 0.500 0.500

---

[8]
Compound: LaBeFe2
Source: Alexandria via LeMat-Bulk
Functional: PBE
Structure: relaxed

Output
Its spin magnetization is 1.013 μB/atom. As for the density of states at the Fermi level: 1.095 states/eV per atom. The value obtained for the formation energy is 0.89 eV per formula unit. Its symmetry is P4mm. Its total energy is -6.17 eV per atom.

abc: 3.032 3.032 6.826
angles: 90.00 90.00 90.00
Fractional coordinates of all 4 atoms:
La 0.000 0.000 0.000
Be 0.500 0.500 0.347
Fe 0.000 0.000 0.497
Fe 0.500 0.500 0.677